First-principles (PBE) data for a relaxed structure of K3Rb3Tl2, as listed in Alexandria via LeMat-Bulk.

Cell lengths 5.463, 7.398, 13.104 Å; angles 81.41, 77.86, 90.04 degrees
Atoms (fractional coordinates):
Rb: 0.823 0.420 0.356
K: 0.637 0.077 0.724
Tl: 0.238 0.091 0.524
Rb: 0.177 0.580 0.644
K: 0.500 0.500 0.000
Rb: 0.000 0.000 0.000
Tl: 0.762 0.909 0.476
K: 0.363 0.923 0.276

Properties
For the magnetization, the calculation gives 0.00 μB/atom. Its energy of formation from the pure elements is -0.029 eV/atom. The symmetry is P-1, No. 2. For the total energy, the calculation gives -1.395 eV/atom.


First-principles (PBE) data for a relaxed structure of Mg3PbSe, as listed in Alexandria via LeMat-Bulk.

Cell lengths 5.084, 5.084, 5.084 Å; angles 90.00, 90.00, 90.00 degrees
Atoms (fractional coordinates):
Mg: 0.000 0.000 0.500
Se: 0.000 0.000 0.000
Mg: 0.500 0.000 0.000
Pb: 0.500 0.500 0.500
Mg: 0.000 0.500 0.000

Properties
For the magnetization, the calculation gives 0.00 μB/atom. The symmetry is Pm-3m, No. 221. The excess energy over the best structure of this formula in the dataset comes out at 0.000 eV per atom. For the total energy, the calculation gives -2.524 eV/atom.


Copy entry 2 word for word.
First-principles (PBE) data for a relaxed structure of Mg3PbSe, as listed in Alexandria via LeMat-Bulk.

Cell lengths 5.084, 5.084, 5.084 Å; angles 90.00, 90.00, 90.00 degrees
Atoms (fractional coordinates):
Mg: 0.000 0.000 0.500
Se: 0.000 0.000 0.000
Mg: 0.500 0.000 0.000
Pb: 0.500 0.500 0.500
Mg: 0.000 0.500 0.000

Properties
For the magnetization, the calculation gives 0.00 μB/atom. The symmetry is Pm-3m, No. 221. The excess energy over the best structure of this formula in the dataset comes out at 0.000 eV per atom. For the total energy, the calculation gives -2.524 eV/atom.